This record from the Alexandria database describes a geometry-optimized BaMgPb2 structure. The functional is PBE-GGA.

Calculated values
- DFT formation energy: -285 meV/atom
- Symmetry: P4/mmm
- Calculated volume: 32.655 Å³ per atom

```
BaMgPb2
1.0
-0.400 -0.572 5.092
-4.931 -1.358 -0.539
1.350 -4.735 -0.426
Ba Pb Mg
1 2 1
direct
0.500 0.000 0.500
0.500 0.500 0.000
0.000 0.000 0.000
0.000 0.500 0.500
```

This record from the Alexandria database describes a geometry-optimized Ba2MgPb structure. The functional is PBE-GGA.

Calculated values
- DFT formation energy: -87 meV/atom
- Symmetry: F-43m
- Calculated volume: 38.763 Å³ per atom

```
Ba2MgPb
1.0
6.030 0.000 0.000
3.015 5.222 0.000
3.015 1.741 4.924
Mg Ba Pb
1 2 1
direct
0.500 0.500 0.500
0.250 0.250 0.250
0.000 0.000 0.000
0.750 0.750 0.750
```

This record from the Alexandria database describes a geometry-optimized BaMgPb2 structure. The functional is PBE-GGA.

Calculated values
- DFT formation energy: -334 meV/atom
- Symmetry: C2/m
- Calculated volume: 34.584 Å³ per atom

```
BaMgPb2
1.0
5.321 -0.017 0.021
3.236 4.223 0.021
1.879 0.923 6.151
Pb Mg Ba
2 1 1
direct
0.988 0.988 0.084
0.512 0.512 0.416
0.250 0.250 0.250
0.750 0.750 0.750
```

This record from the Alexandria database describes a geometry-optimized BaMg3Pb2 structure. The functional is PBE-GGA.

Calculated values
- DFT formation energy: -291 meV/atom
- Symmetry: C2/m
- Calculated volume: 30.537 Å³ per atom

```
BaMg3Pb2
1.0
-2.560 -1.274 -3.864
7.411 -6.147 0.106
-6.952 -2.302 5.365
Pb Mg Ba
4 6 2
direct
0.797 0.593 0.293
0.482 0.964 0.813
0.518 0.036 0.187
0.203 0.407 0.707
0.049 0.098 0.394
0.410 0.820 0.344
0.951 0.902 0.606
0.314 0.627 0.543
0.590 0.180 0.656
0.686 0.373 0.457
0.142 0.283 0.055
0.858 0.717 0.945
```